Compound: SiNi3S
Source: Alexandria
Functional: PBEsol
Structure: optimized geometry

Summary:
The raw formation energy comes out at 0.159 eV/atom. As for the total energy: -27.81 eV/f.u. As for the crystal system: cubic. The calculation puts the calculated volume at 13.7 Å³ per atom.

Cell and atoms, written as CIF:
```
data_SiNi3S
_cell_length_a 4.095
_cell_length_b 4.095
_cell_length_c 4.095
_cell_angle_alpha 90.00
_cell_angle_beta 90.00
_cell_angle_gamma 90.00
_space_group_name_H-M_alt 'P m -3 m'
_space_group_IT_number 221
_space_group_name_Hall '-P 4 2 3'
loop_
_atom_site_label
_atom_site_type_symbol
_atom_site_fract_x
_atom_site_fract_y
_atom_site_fract_z
Si1 Si 0.000 0.000 0.000
Ni1 Ni 0.000 0.500 0.500
S1 S 0.500 0.500 0.500
```